The following is a DFT calculation (PBE-GGA) of a relaxed structure of TeIr3Se.

Cell and atoms, written as POSCAR:
```
TeIr3Se
1.0
4.6575 0.0000 0.0000
0.0000 4.6575 0.0000
0.0000 0.0000 4.6575
Ir Te Se
3 1 1
direct
0.0000 0.5000 0.0000
0.0000 0.0000 0.5000
0.5000 0.0000 0.0000
0.5000 0.5000 0.5000
0.0000 0.0000 0.0000
```

## Properties
uncorrected energy	-5.4283	eV per atom
calculated density	12.87	Mg/m³
total magnetization	0.0	μB per formula unit
ΔE to the lowest computed polymorph	0	meV per atom
formation energy without anion corrections	1213	meV/atom